! PmPd2Pb4, optimized geometry, DFT GGA-PBE; values from VASP
&SYSTEM
  ibrav = 0, nat = 28, ntyp = 3
/
ATOMIC_SPECIES
Pm 145.00 Pm.upf
Pd 106.42 Pd.upf
Pb 207.20 Pb.upf
ATOMIC_POSITIONS angstrom
Pm -13.734 2.697 8.039
Pm -6.757 3.296 0.483
Pm -15.851 8.002 4.794
Pm -4.640 -2.009 3.728
Pd -11.001 3.750 6.929
Pd -9.490 2.244 1.593
Pd -18.190 7.927 2.713
Pd -2.301 -1.933 5.809
Pd -14.648 5.529 8.932
Pd -5.843 0.465 -0.410
Pd -14.968 5.094 4.151
Pd -5.523 0.900 4.371
Pb -12.655 6.448 3.025
Pb -7.836 -0.454 5.497
Pb -16.554 5.184 6.764
Pb -3.937 0.810 1.758
Pb -13.207 5.530 6.348
Pb -7.284 0.463 2.173
Pb -15.794 6.617 1.754
Pb -4.697 -0.624 6.768
Pb -9.872 5.040 1.624
Pb -10.619 0.954 6.898
Pb -19.045 7.317 5.796
Pb -1.446 -1.323 2.726
Pb -8.486 2.991 4.355
Pb -12.006 3.003 4.167
Pb -3.842 -4.010 7.392
Pb -16.649 10.004 1.130
CELL_PARAMETERS angstrom
-2.166 -3.078 -1.210
-1.025 -2.544 8.310
-17.299 11.616 1.422
! SG: Pnma (62)
! VASP energy (Ry/atom): -0.34089


! PmPd3Pb, optimized geometry, DFT GGA-PBE; values from VASP
&SYSTEM
  ibrav = 0, nat = 20, ntyp = 3
/
ATOMIC_SPECIES
Pm 145.00 Pm.upf
Pd 106.42 Pd.upf
Pb 207.20 Pb.upf
ATOMIC_POSITIONS angstrom
Pm 0.000 3.336 4.289
Pm 2.889 1.668 12.866
Pm 0.000 0.000 8.577
Pm 0.000 0.000 0.000
Pd 0.000 1.562 12.866
Pd 1.352 0.781 4.289
Pd 4.425 0.781 4.289
Pd -1.537 4.223 12.866
Pd 1.537 4.223 12.866
Pd 2.889 3.442 4.289
Pd 1.444 2.502 8.577
Pd 2.889 0.000 0.000
Pd 1.444 2.502 0.000
Pd 2.889 0.000 8.577
Pd -1.444 2.502 8.577
Pd -1.444 2.502 0.000
Pb 2.889 1.668 2.182
Pb 0.000 3.336 10.759
Pb 0.000 3.336 14.972
Pb 2.889 1.668 6.395
CELL_PARAMETERS angstrom
5.778 0.000 0.000
-2.889 5.004 0.000
0.000 0.000 17.154
! SG: P6_3/mmc (194)
! VASP energy (Ry/atom): -0.37686


! Pm5Pd2Pb2, optimized geometry, DFT GGA-PBE; values from VASP
&SYSTEM
  ibrav = 0, nat = 18, ntyp = 3
/
ATOMIC_SPECIES
Pm 145.00 Pm.upf
Pd 106.42 Pd.upf
Pb 207.20 Pb.upf
ATOMIC_POSITIONS angstrom
Pm 0.000 0.000 0.000
Pm -0.187 -1.769 -5.497
Pm -0.340 -4.738 -7.606
Pm 1.607 -2.193 -2.353
Pm 3.022 -2.840 -6.713
Pm -1.755 -4.091 -3.245
Pm 0.821 -5.805 2.322
Pm -1.126 -8.350 -2.931
Pm -2.542 -7.703 1.429
Pm 2.236 -6.451 -2.039
Pd 0.974 -2.198 -8.742
Pd -1.348 -1.340 -2.252
Pd 2.361 -0.380 -4.986
Pd -2.735 -3.158 -6.009
Pb 1.419 -2.934 0.896
Pb 1.232 -4.703 -4.601
Pb 4.404 -3.868 -2.391
Pb -0.751 -5.840 -0.683
CELL_PARAMETERS angstrom
-5.342 -3.741 -3.789
4.968 0.203 -7.205
0.855 -7.005 5.710
! SG: Cmce (64)
! VASP energy (Ry/atom): -0.38242


! Pm2Pd7Pb2, optimized geometry, DFT GGA-PBE; values from VASP
&SYSTEM
  ibrav = 0, nat = 11, ntyp = 3
/
ATOMIC_SPECIES
Pm 145.00 Pm.upf
Pd 106.42 Pd.upf
Pb 207.20 Pb.upf
ATOMIC_POSITIONS angstrom
Pm -2.644 7.073 2.099
Pm -2.345 1.734 1.732
Pd 0.206 2.143 3.018
Pd -4.934 2.028 0.494
Pd -5.195 6.664 0.813
Pd -0.055 6.779 3.337
Pd 0.000 0.000 0.000
Pd -3.580 4.290 2.688
Pd -1.409 4.518 1.143
Pb -1.635 4.693 -1.592
Pb -3.354 4.114 5.423
CELL_PARAMETERS angstrom
-3.203 4.755 -3.779
-4.468 -0.470 3.194
2.682 4.523 4.416
! SG: Cmmm (65)
! VASP energy (Ry/atom): -0.37221


! Pm5Pd2Pb, optimized geometry, DFT GGA-PBE; values from VASP
&SYSTEM
  ibrav = 0, nat = 16, ntyp = 3
/
ATOMIC_SPECIES
Pm 145.00 Pm.upf
Pd 106.42 Pd.upf
Pb 207.20 Pb.upf
ATOMIC_POSITIONS angstrom
Pm -5.712 -0.061 1.070
Pm -7.161 -0.092 -5.235
Pm 0.000 0.000 0.000
Pm -3.693 0.436 -4.357
Pm -1.663 1.597 5.334
Pm -3.893 3.670 2.269
Pm -3.482 -2.133 4.135
Pm -4.931 -2.165 -2.170
Pm -5.342 3.638 -4.035
Pm -3.112 1.565 -0.971
Pd -2.071 -1.104 -2.120
Pd -2.348 3.154 -3.460
Pd -5.037 -2.283 -5.253
Pd -5.314 1.975 -6.593
Pb -6.258 0.970 -2.129
Pb -2.566 0.535 2.228
CELL_PARAMETERS angstrom
-2.733 6.077 -4.606
-4.652 -5.206 -4.108
-1.439 0.633 8.813
! SG: I4/mcm (140)
! VASP energy (Ry/atom): -0.38995


! Pm4PdPb3, optimized geometry, DFT GGA-PBE; values from VASP
&SYSTEM
  ibrav = 0, nat = 8, ntyp = 3
/
ATOMIC_SPECIES
Pm 145.00 Pm.upf
Pd 106.42 Pd.upf
Pb 207.20 Pb.upf
ATOMIC_POSITIONS angstrom
Pm -2.483 4.200 1.602
Pm -1.292 7.606 7.166
Pm 0.135 1.189 0.984
Pm -0.004 7.090 3.117
Pd -2.747 1.869 -0.326
Pb -1.577 5.086 5.082
Pb 0.410 3.628 3.001
Pb 0.277 9.576 5.173
CELL_PARAMETERS angstrom
-1.297 2.785 -3.190
-4.369 -0.566 1.282
1.013 8.951 7.404
! SG: Pmm2 (25)
! VASP energy (Ry/atom): -0.36631


! Pm5PdPb4, optimized geometry, DFT GGA-PBE; values from VASP
&SYSTEM
  ibrav = 0, nat = 10, ntyp = 3
/
ATOMIC_SPECIES
Pm 145.00 Pm.upf
Pd 106.42 Pd.upf
Pb 207.20 Pb.upf
ATOMIC_POSITIONS angstrom
Pm 1.811 1.811 1.774
Pm 1.811 1.811 6.359
Pm 1.811 1.811 10.863
Pm 1.811 1.811 15.367
Pm 1.811 1.811 19.952
Pd 0.000 0.000 0.000
Pb 0.000 0.000 4.058
Pb 0.000 0.000 8.602
Pb 0.000 0.000 13.124
Pb 0.000 0.000 17.668
CELL_PARAMETERS angstrom
3.621 0.000 0.000
0.000 3.621 0.000
0.000 0.000 21.726
! SG: P4/mmm (123)
! VASP energy (Ry/atom): -0.36231


! Pm3Pd4Pb, optimized geometry, DFT GGA-PBE; values from VASP
&SYSTEM
  ibrav = 0, nat = 8, ntyp = 3
/
ATOMIC_SPECIES
Pm 145.00 Pm.upf
Pd 106.42 Pd.upf
Pb 207.20 Pb.upf
ATOMIC_POSITIONS angstrom
Pm 3.045 -2.809 2.602
Pm 1.948 0.048 4.310
Pm -1.202 -3.343 1.398
Pd 4.224 -7.134 -1.035
Pd 1.402 -2.002 0.183
Pd -0.271 -0.653 2.121
Pd 0.647 -5.535 -1.369
Pb 2.914 -4.565 -0.202
CELL_PARAMETERS angstrom
-3.801 2.984 4.814
-1.119 -6.224 -2.555
6.149 -2.926 0.383
! SG: Imm2 (44)
! VASP energy (Ry/atom): -0.39736


! Pm3Pd2Pb4, optimized geometry, DFT GGA-PBE; values from VASP
&SYSTEM
  ibrav = 0, nat = 9, ntyp = 3
/
ATOMIC_SPECIES
Pm 145.00 Pm.upf
Pd 106.42 Pd.upf
Pb 207.20 Pb.upf
ATOMIC_POSITIONS angstrom
Pm 1.447 -8.560 3.278
Pm 0.000 0.000 0.000
Pm -0.293 -6.316 0.666
Pd 2.472 -7.278 0.222
Pd -1.318 -7.599 3.722
Pb 0.819 -3.198 -0.345
Pb 0.335 -11.679 4.289
Pb 0.070 -5.143 3.668
Pb 1.084 -9.733 0.277
CELL_PARAMETERS angstrom
-1.759 -4.008 -2.272
4.319 -4.791 -0.244
-1.406 -6.078 6.460
! Excess energy over the best structure of this formula in the dataset (eV/f.u.): 0.26
! SG: C2/m (12)
! VASP energy (Ry/atom): -0.36203


! Pm4PdPb2, optimized geometry, DFT GGA-PBE; values from VASP
&SYSTEM
  ibrav = 0, nat = 7, ntyp = 3
/
ATOMIC_SPECIES
Pm 145.00 Pm.upf
Pd 106.42 Pd.upf
Pb 207.20 Pb.upf
ATOMIC_POSITIONS angstrom
Pm 2.352 -2.517 4.728
Pm 0.000 6.239 -0.172
Pm 2.352 0.717 1.662
Pm 0.000 3.004 2.894
Pd 0.000 0.000 0.000
Pb 2.352 4.118 0.908
Pb 0.000 -0.396 3.648
CELL_PARAMETERS angstrom
4.704 0.000 0.000
0.000 8.861 -1.314
-2.352 -5.140 5.870
! Excess energy over the best structure of this formula in the dataset (eV/f.u.): 0.00
! SG: C2/m (12)
! VASP energy (Ry/atom): -0.37056


! PmPd2Pb3, optimized geometry, DFT GGA-PBE; values from VASP
&SYSTEM
  ibrav = 0, nat = 12, ntyp = 3
/
ATOMIC_SPECIES
Pm 145.00 Pm.upf
Pd 106.42 Pd.upf
Pb 207.20 Pb.upf
ATOMIC_POSITIONS angstrom
Pm -6.336 -1.280 1.669
Pm -2.733 -1.099 3.257
Pd -8.997 -2.751 1.899
Pd -2.920 0.954 1.010
Pd -4.176 -3.604 1.722
Pd -6.054 -1.331 -1.592
Pb -6.899 -4.989 1.833
Pb -6.392 0.679 -3.869
Pb -5.414 1.316 -0.602
Pb -5.232 -3.372 4.411
Pb -3.494 -1.547 -0.101
Pb -8.071 -3.115 -0.714
CELL_PARAMETERS angstrom
-1.453 3.090 2.943
-6.078 1.242 -4.305
-4.315 -6.144 4.320
! SG: Pmc2_1 (26)
! VASP energy (Ry/atom): -0.35256


! Pm4PdPb2, optimized geometry, DFT GGA-PBE; values from VASP
&SYSTEM
  ibrav = 0, nat = 7, ntyp = 3
/
ATOMIC_SPECIES
Pb 207.20 Pb.upf
Pd 106.42 Pd.upf
Pm 145.00 Pm.upf
ATOMIC_POSITIONS angstrom
Pb -1.773 -3.599 -1.756
Pb 2.343 -5.688 1.084
Pd 0.000 0.000 0.000
Pm -0.582 -6.489 -1.206
Pm 1.152 -2.798 0.533
Pm -0.207 -0.573 -2.560
Pm -2.431 -0.924 0.404
CELL_PARAMETERS angstrom
-4.862 -1.849 0.807
-0.415 -1.146 -5.121
5.846 -6.291 3.640
! Excess energy over the best structure of this formula in the dataset (eV/f.u.): 1.22
! SG: I4/mmm (139)
! VASP energy (Ry/atom): -0.35770


Among the records above, which one has the lowest VASP energy? Pm3Pd4Pb


VASP energy of number 1 (PmPd2Pb4)? -0.34089 Ry/atom